No. 1
Er3TmPt2 | PBE-GGA | optimized geometry

```
Er3TmPt2
1.0
4.731 0.000 0.000
0.000 7.083 0.000
0.000 0.000 8.712
Pt Er Tm
4 6 2
direct
0.500 0.741 0.844 Pt
0.500 0.241 0.156 Pt
0.000 0.759 0.345 Pt
0.000 0.259 0.655 Pt
0.500 0.144 0.829 Er
0.000 0.356 0.330 Er
0.500 0.644 0.171 Er
0.000 0.490 0.917 Er
0.000 0.990 0.083 Er
0.000 0.856 0.670 Er
0.500 0.510 0.583 Tm
0.500 0.010 0.417 Tm
```

Calculated values
SG = Pmc2_1, No. 26
density of states at the Fermi level = 5.85 states/eV/f.u.
ΔH_f (0 K) = -0.990 eV per atom
mass density = 12.07 Mg/m³
raw total energy = -0.443 Ry/atom

No. 2
CsTl2Rh2 | PBE-GGA | optimized geometry

```
CsTl2Rh2
1.0
4.741 0.000 0.000
0.000 4.741 0.000
2.370 2.370 6.162
Tl Rh Cs
2 2 1
direct
0.358 0.358 0.284 Tl
0.642 0.642 0.716 Tl
0.750 0.250 0.500 Rh
0.250 0.750 0.500 Rh
0.000 0.000 0.000 Cs
```

Calculated values
SG = I4/mmm, No. 139
density of states at the Fermi level = 3.99 states/eV/f.u.
ΔH_f (0 K) = 0.225 eV per atom
mass density = 8.96 Mg/m³
ΔE to the lowest computed polymorph = 0 meV/atom
raw total energy = -0.282 Ry/atom

- Which of these has the highest raw total energy?
  CsTl2Rh2